*1*
## Co5Ni (meta-GGA SCAN)

Data for a PBEsol-optimized structure of Co5Ni.

Calculated values
The value obtained for the magnetic moment is 19.00 μB per cell. The volume comes out at 123.8 Å³/cell.

a = 3.960 Å, b = 2.448 Å, c = 12.770 Å
α = 90.00°, β = 90.00°, γ = 90.00°
Space group Amm2 (No. 38)
Asymmetric unit:
Co 0.000 0.000 0.000 [2 per cell]
Co 0.000 0.000 0.333 [2 per cell]
Co 0.000 0.000 0.666 [2 per cell]
Co 0.500 0.000 0.110 [2 per cell]
Co 0.500 0.000 0.444 [2 per cell]
Ni 0.500 0.000 0.778 [2 per cell]

*2*
## Co5Ni (meta-GGA SCAN)

Data for a PBEsol-optimized structure of Co5Ni.

Calculated values
The value obtained for the magnetic moment is 19.65 μB per cell. The volume comes out at 124.3 Å³/cell.

a = 3.465 Å, b = 10.336 Å, c = 3.470 Å
α = 90.00°, β = 90.00°, γ = 90.00°
Space group Cmmm (No. 65)
Asymmetric unit:
Co 0.000 0.000 0.000 [2 per cell]
Co 0.000 0.167 0.500 [4 per cell]
Co 0.000 0.333 0.000 [4 per cell]
Ni 0.000 0.500 0.500 [2 per cell]

Which structure is most stable? *2*, by 18 meV/atom over the runner-up.

*1*
## Co2Ni3 (meta-GGA SCAN)

Data for a PBEsol-optimized structure of Co2Ni3.

Calculated values
The value obtained for the magnetic moment is 47.40 μB per cell. The volume comes out at 419.8 Å³/cell.

a = 8.222 Å, b = 11.910 Å, c = 4.287 Å
α = 90.00°, β = 90.00°, γ = 90.00°
Space group Fdd2 (No. 43)
Asymmetric unit:
Co 0.020 0.298 0.000 [16 per cell]
Ni 0.000 0.000 0.462 [8 per cell]
Ni 0.032 0.400 0.477 [16 per cell]

*2*
## Co2Ni3 (meta-GGA SCAN)

Data for a PBEsol-optimized structure of Co2Ni3.

Calculated values
The value obtained for the magnetic moment is 17.44 μB per cell. The volume comes out at 155.5 Å³/cell.

a = 2.4445 Å, b = 2.4445 Å, c = 30.0574 Å
α = 90.00°, β = 90.00°, γ = 120.00°
Space group R-3m (No. 166, hexagonal axes)
Asymmetric unit:
Co 0.0000 0.0000 0.0999 [6 per cell]
Ni 0.0000 0.0000 0.2996 [6 per cell]
Ni 0.0000 0.0000 0.5000 [3 per cell]

Which structure is most stable? *2*, by 86 meV/atom over the runner-up.

*1*
## Co2NiO6 (meta-GGA SCAN)

Data for a PBEsol-optimized structure of Co2NiO6.

Calculated values
The value obtained for the magnetic moment is 4.03 μB per cell. The volume comes out at 181.9 Å³/cell.

a = 12.118 Å, b = 2.789 Å, c = 5.518 Å
α = 90.00°, β = 102.80°, γ = 90.00°
Space group C2/m (No. 12)
Asymmetric unit:
Co 0.167 0.000 0.334 [4 per cell]
Ni 0.000 0.500 0.000 [2 per cell]
O 0.011 0.000 0.228 [4 per cell]
O 0.157 0.500 0.109 [4 per cell]
O 0.177 0.500 0.559 [4 per cell]

*2*
## Co2NiO6 (meta-GGA SCAN)

Data for a PBEsol-optimized structure of Co2NiO6.

Calculated values
The value obtained for the magnetic moment is 8.02 μB per cell. The volume comes out at 366.1 Å³/cell.

a = 8.375 Å, b = 4.826 Å, c = 9.060 Å
α = 90.00°, β = 90.00°, γ = 90.00°
Space group Cmce (No. 64)
Asymmetric unit:
Co 0.167 0.000 0.000 [8 per cell]
Ni 0.000 0.000 0.500 [4 per cell]
O 0.000 0.163 0.102 [8 per cell]
O 0.168 0.168 0.398 [16 per cell]

Which structure is most stable? *1*, by 17 meV/atom over the runner-up.

*1*
## CoNiOs2 (meta-GGA SCAN)

Data for a PBEsol-optimized structure of CoNiOs2.

Calculated values
The value obtained for the magnetic moment is 6.80 μB per cell. The volume comes out at 150.2 Å³/cell.

a = 2.6428 Å, b = 2.6428 Å, c = 24.8307 Å
α = 90.00°, β = 90.00°, γ = 120.00°
Space group R3m (No. 160, hexagonal axes)
Asymmetric unit:
Co 0.0000 0.0000 0.0000 [3 per cell]
Ni 0.0000 0.0000 0.7448 [3 per cell]
Os 0.0000 0.0000 0.2504 [3 per cell]
Os 0.0000 0.0000 0.4955 [3 per cell]

*2*
## CoNiOs2 (meta-GGA SCAN)

Data for a PBEsol-optimized structure of CoNiOs2.

Calculated values
The value obtained for the magnetic moment is 5.17 μB per cell. The volume comes out at 101.8 Å³/cell.

a = 5.171 Å, b = 8.557 Å, c = 2.581 Å
α = 90.00°, β = 116.97°, γ = 90.00°
Space group C2/m (No. 12)
Asymmetric unit:
Co 0.000 0.000 0.000 [2 per cell]
Ni 0.000 0.500 0.000 [2 per cell]
Os 0.250 0.250 0.500 [4 per cell]

*3*
## CoNiOs2 (meta-GGA SCAN)

Data for a PBEsol-optimized structure of CoNiOs2.

Calculated values
The value obtained for the magnetic moment is 8.88 μB per cell. The volume comes out at 195.0 Å³/cell.

a = 5.798 Å, b = 5.798 Å, c = 5.798 Å
α = 90.00°, β = 90.00°, γ = 90.00°
Space group Fm-3m (No. 225)
Asymmetric unit:
Co 0.000 0.000 0.000 [4 per cell]
Ni 0.000 0.000 0.500 [4 per cell]
Os 0.250 0.250 0.250 [8 per cell]

Which structure is most stable? *1*, by 67 meV/atom over the runner-up.

*1*
## CoNiPb2 (meta-GGA SCAN)

Data for a PBEsol-optimized structure of CoNiPb2.

Calculated values
The value obtained for the magnetic moment is 2.06 μB per cell. The volume comes out at 76.8 Å³/cell.

a = 3.157 Å, b = 3.157 Å, c = 7.701 Å
α = 90.00°, β = 90.00°, γ = 90.00°
Space group P4mm (No. 99)
Asymmetric unit:
Co 0.000 0.000 0.000 [1 per cell]
Ni 0.500 0.500 0.134 [1 per cell]
Pb 0.000 0.000 0.361 [1 per cell]
Pb 0.500 0.500 0.770 [1 per cell]

*2*
## CoNiPb2 (meta-GGA SCAN)

Data for a PBEsol-optimized structure of CoNiPb2.

Calculated values
The value obtained for the magnetic moment is 1.99 μB per cell. The volume comes out at 69.6 Å³/cell.

a = 3.209 Å, b = 4.403 Å, c = 4.927 Å
α = 90.00°, β = 90.00°, γ = 90.00°
Space group Pmmm (No. 47)
Asymmetric unit:
Co 0.000 0.000 0.000 [1 per cell]
Ni 0.000 0.500 0.500 [1 per cell]
Pb 0.500 0.000 0.500 [1 per cell]
Pb 0.500 0.500 0.000 [1 per cell]

*3*
## CoNiPb2 (meta-GGA SCAN)

Data for a PBEsol-optimized structure of CoNiPb2.

Calculated values
The value obtained for the magnetic moment is 3.17 μB per cell. The volume comes out at 145.7 Å³/cell.

a = 3.132 Å, b = 4.091 Å, c = 11.368 Å
α = 90.00°, β = 90.00°, γ = 90.00°
Space group Imm2 (No. 44)
Asymmetric unit:
Co 0.000 0.000 0.000 [2 per cell]
Ni 0.000 0.500 0.677 [2 per cell]
Pb 0.000 0.000 0.519 [2 per cell]
Pb 0.000 0.500 0.285 [2 per cell]

Which structure is most stable? *1*, by 153 meV/atom over the runner-up.

*1*
## CoNiRh (meta-GGA SCAN)

Data for a PBEsol-optimized structure of CoNiRh.

Calculated values
The value obtained for the magnetic moment is 7.24 μB per cell. The volume comes out at 69.6 Å³/cell.

a = 2.568 Å, b = 3.543 Å, c = 7.647 Å
α = 90.00°, β = 90.00°, γ = 90.00°
Space group Imm2 (No. 44)
Asymmetric unit:
Co 0.000 0.000 0.000 [2 per cell]
Ni 0.000 0.000 0.661 [2 per cell]
Rh 0.000 0.000 0.332 [2 per cell]

*2*
## CoNiRh (meta-GGA SCAN)

Data for a PBEsol-optimized structure of CoNiRh.

Calculated values
The value obtained for the magnetic moment is 3.72 μB per cell. The volume comes out at 35.2 Å³/cell.

a = 4.0050 Å, b = 4.0050 Å, c = 2.5341 Å
α = 90.00°, β = 90.00°, γ = 120.00°
Space group P-6m2 (No. 187)
Asymmetric unit:
Co 0.0000 0.0000 0.0000 [1 per cell]
Ni 0.6667 0.3333 0.0000 [1 per cell]
Rh 0.3333 0.6667 0.5000 [1 per cell]

*3*
## CoNiRh (meta-GGA SCAN)

Data for a PBEsol-optimized structure of CoNiRh.

Calculated values
The value obtained for the magnetic moment is 3.39 μB per cell. The volume comes out at 35.2 Å³/cell.

a = 2.5699 Å, b = 2.5699 Å, c = 6.1522 Å
α = 90.00°, β = 90.00°, γ = 120.00°
Space group P3m1 (No. 156)
Asymmetric unit:
Co 0.0000 0.0000 0.0000 [1 per cell]
Ni 0.3333 0.6667 0.6849 [1 per cell]
Rh 0.6667 0.3333 0.3382 [1 per cell]

Which structure is most stable? *1*, by 22 meV/atom over the runner-up.

*1*
## CoNiRh (meta-GGA SCAN)

Data for a PBEsol-optimized structure of CoNiRh.

Calculated values
The value obtained for the magnetic moment is 7.23 μB per cell. The volume comes out at 69.8 Å³/cell.

a = 2.569 Å, b = 2.569 Å, c = 10.567 Å
α = 90.00°, β = 90.00°, γ = 90.00°
Space group I4mm (No. 107)
Asymmetric unit:
Co 0.000 0.000 0.000 [2 per cell]
Ni 0.000 0.000 0.656 [2 per cell]
Rh 0.000 0.000 0.331 [2 per cell]

*2*
## CoNiRh (meta-GGA SCAN)

Data for a PBEsol-optimized structure of CoNiRh.

Calculated values
The value obtained for the magnetic moment is 7.44 μB per cell. The volume comes out at 70.2 Å³/cell.

a = 2.948 Å, b = 2.948 Å, c = 8.080 Å
α = 90.00°, β = 90.00°, γ = 90.00°
Space group I4mm (No. 107)
Asymmetric unit:
Co 0.000 0.000 0.000 [2 per cell]
Ni 0.000 0.000 0.645 [2 per cell]
Rh 0.000 0.000 0.322 [2 per cell]

Which structure is most stable? *1*, by 11 meV/atom over the runner-up.

*1*
## CoNi2Ru (meta-GGA SCAN)

Data for a PBEsol-optimized structure of CoNi2Ru.

Calculated values
The value obtained for the magnetic moment is 8.67 μB per cell. The volume comes out at 87.7 Å³/cell.

a = 3.508 Å, b = 3.508 Å, c = 7.121 Å
α = 90.00°, β = 90.00°, γ = 90.00°
Space group I-4m2 (No. 119)
Asymmetric unit:
Co 0.000 0.000 0.000 [2 per cell]
Ni 0.000 0.000 0.500 [2 per cell]
Ni 0.000 0.500 0.250 [2 per cell]
Ru 0.000 0.500 0.750 [2 per cell]

*2*
## CoNi2Ru (meta-GGA SCAN)

Data for a PBEsol-optimized structure of CoNi2Ru.

Calculated values
The value obtained for the magnetic moment is 4.38 μB per cell. The volume comes out at 44.7 Å³/cell.

a = 2.495 Å, b = 3.597 Å, c = 4.978 Å
α = 90.00°, β = 90.00°, γ = 90.00°
Space group Pmmm (No. 47)
Asymmetric unit:
Co 0.000 0.000 0.000 [1 per cell]
Ni 0.500 0.500 0.244 [2 per cell]
Ru 0.000 0.000 0.500 [1 per cell]

Which structure is most stable? *2*, by 12 meV/atom over the runner-up.